Here is TcIr3 after structural relaxation from Alexandria via LeMat-Bulk. Energies are from GGA-PBEsol.

Cell lengths 2.7253, 4.3447, 4.7276 Å; angles 90.00, 90.00, 90.00 degrees
With the nearest neighbours (Å) after each atom.
Positions (direct):
Ir  0.0000  0.0000  0.0015  2 Tc 2.68, 10 Ir 2.69-2.73
Ir  0.5000  0.0000  0.5005  8 Ir 2.68-2.73, 4 Tc 2.69
Ir  0.5000  0.5000  0.8325  8 Ir 2.68-2.73, 4 Tc 2.73
Tc  0.0000  0.5000  0.3322  10 Ir 2.68-2.73, 2 Tc 2.73

Calculated values
**Uncorrected energy**: -10.3280 eV per atom
**Energy relative to the elements**: -0.1438 eV/atom

Here is ScOsRu2 after structural relaxation from Alexandria via LeMat-Bulk. Energies are from GGA-PBEsol.

Cell lengths 2.7801, 2.7801, 8.9801 Å; angles 81.10, 81.10, 60.00 degrees
With the nearest neighbours (Å) after each atom.
Positions (direct):
Os  0.0000  0.0000  0.0000  6 Ru 2.66, 6 Os 2.78
Ru  0.2533  0.2533  0.2400  3 Os 2.66, 6 Ru 2.78, 3 Sc 2.80
Ru  0.7467  0.7467  0.7600  3 Os 2.66, 6 Ru 2.78, 3 Sc 2.80
Sc  0.5000  0.5000  0.5000  6 Sc 2.78, 6 Ru 2.80

Calculated values
**Polymorph energy (0 for the lowest one)**: 0.60 eV per formula unit
**Uncorrected energy**: -9.6039 eV per atom
**Energy relative to the elements**: 0.1875 eV/atom